CdGa4Pd7 (PBE, optimized geometry); calculated formation energy = -0.3667 eV/atom; M_tot = 0.00 μB/f.u.
1.0
5.626 -2.427 0.000
5.626 2.427 0.000
-4.971 0.000 7.483
Cd Ga Pd
1 4 7
direct
0.000 0.000 0.000
0.279 0.279 0.670
0.424 0.424 0.222
0.576 0.576 0.778
0.721 0.721 0.330
0.073 0.073 0.349
0.213 0.213 0.892
0.353 0.353 0.440
0.500 0.500 0.000
0.647 0.647 0.560
0.787 0.787 0.108
0.927 0.927 0.651